[1]
VASP calculation (SCAN) on NaScTa2S at its PBEsol-relaxed geometry.

```
NaScTa2S
1.0
4.863 0.000 0.000
0.000 4.863 0.000
0.000 0.000 4.867
Na Sc Ta S
1 1 2 1
direct
0.000 0.000 0.000
0.500 0.500 0.500
0.000 0.500 0.500
0.500 0.000 0.500
0.500 0.500 0.000
```

Results
energy relative to the elements, uncorrected: 1526.0 meV per atom
final energy: -153.6 eV/cell

***

[2]
VASP calculation (SCAN) on Na2YScS at its PBEsol-relaxed geometry.

```
Na2YScS
1.0
5.695 0.000 0.000
0.000 5.695 0.000
0.000 0.000 5.156
Na Y Sc S
2 1 1 1
direct
0.000 0.500 0.000
0.500 0.000 0.000
0.000 0.000 0.000
0.000 0.000 0.500
0.500 0.500 0.500
```

Results
energy relative to the elements, uncorrected: 1175.7 meV per atom
final energy: -54.3 eV/cell

***

[3]
VASP calculation (SCAN) on Na4SeS at its PBEsol-relaxed geometry.

```
Na4SeS
1.0
4.688 0.000 0.000
0.000 4.688 0.000
0.000 0.000 6.663
Na Se S
4 1 1
direct
0.000 0.500 0.242
0.000 0.500 0.758
0.500 0.000 0.242
0.500 0.000 0.758
0.000 0.000 0.500
0.500 0.500 0.000
```

Results
energy relative to the elements, uncorrected: -1251.8 meV per atom
final energy: -54.1 eV/cell

***

[4]
VASP calculation (SCAN) on NaSm3SiS7 at its PBEsol-relaxed geometry.

```
NaSm3SiS7
1.0
10.027 0.000 0.000
-5.014 8.684 0.000
0.000 0.000 5.663
Na Sm Si S
2 6 2 14
direct
0.000 0.000 0.000
0.000 0.000 0.500
0.126 0.765 0.235
0.235 0.361 0.235
0.361 0.126 0.735
0.639 0.874 0.235
0.765 0.639 0.735
0.874 0.235 0.735
0.333 0.667 0.648
0.667 0.333 0.148
0.091 0.829 0.751
0.110 0.521 0.499
0.171 0.262 0.751
0.262 0.091 0.251
0.333 0.667 0.020
0.411 0.890 0.499
0.479 0.589 0.499
0.521 0.411 0.999
0.589 0.110 0.999
0.667 0.333 0.520
0.738 0.909 0.751
0.829 0.738 0.251
0.890 0.479 0.999
0.909 0.171 0.251
```

Results
energy relative to the elements, uncorrected: -1867.9 meV per atom
final energy: -474.7 eV/cell

***

[5]
VASP calculation (SCAN) on NaY3SiS7 at its PBEsol-relaxed geometry.

```
NaY3SiS7
1.0
9.841 0.000 0.000
-4.921 8.523 0.000
0.000 0.000 5.632
Na Y Si S
2 6 2 14
direct
0.000 0.000 0.000
0.000 0.000 0.500
0.129 0.362 0.273
0.233 0.871 0.273
0.362 0.233 0.773
0.638 0.767 0.273
0.767 0.129 0.773
0.871 0.638 0.773
0.333 0.667 0.859
0.667 0.333 0.359
0.096 0.264 0.748
0.106 0.586 0.013
0.169 0.904 0.748
0.264 0.169 0.248
0.333 0.667 0.485
0.414 0.520 0.013
0.480 0.894 0.013
0.520 0.106 0.513
0.586 0.480 0.513
0.667 0.333 0.985
0.736 0.831 0.748
0.831 0.096 0.248
0.894 0.414 0.513
0.904 0.736 0.248
```

Results
energy relative to the elements, uncorrected: -1856.4 meV per atom
final energy: -374.9 eV/cell

***

[6]
VASP calculation (SCAN) on Na6Sn2S7 at its PBEsol-relaxed geometry.

```
Na6Sn2S7
1.0
4.630 -5.352 0.000
4.630 5.352 0.000
-3.875 0.000 14.649
Na Sn S
12 4 14
direct
0.000 0.000 0.000
0.000 0.000 0.500
0.005 0.548 0.137
0.071 0.929 0.750
0.253 0.539 0.425
0.452 0.995 0.363
0.461 0.747 0.075
0.539 0.253 0.925
0.548 0.005 0.637
0.747 0.461 0.575
0.929 0.071 0.250
0.995 0.452 0.863
0.252 0.429 0.636
0.429 0.252 0.136
0.571 0.748 0.864
0.748 0.571 0.364
0.017 0.747 0.320
0.186 0.730 0.602
0.235 0.362 0.016
0.253 0.983 0.180
0.270 0.814 0.898
0.362 0.235 0.516
0.453 0.547 0.250
0.547 0.453 0.750
0.638 0.765 0.484
0.730 0.186 0.102
0.747 0.017 0.820
0.765 0.638 0.984
0.814 0.270 0.398
0.983 0.253 0.680
```

Results
energy relative to the elements, uncorrected: -1053.5 meV per atom
final energy: -360.7 eV/cell

***

[7]
VASP calculation (SCAN) on NaSnS3 at its PBEsol-relaxed geometry.

```
NaSnS3
1.0
4.863 0.000 0.000
0.000 4.863 0.000
0.000 0.000 4.863
Na Sn S
1 1 3
direct
0.000 0.000 0.000
0.500 0.500 0.500
0.000 0.000 0.500
0.000 0.500 0.000
0.500 0.000 0.000
```

Results
energy relative to the elements, uncorrected: 513.1 meV per atom
final energy: -66.5 eV/cell

***

[8]
VASP calculation (SCAN) on Na4Sn3S8 at its PBEsol-relaxed geometry.

```
Na4Sn3S8
1.0
5.605 -3.660 0.000
5.605 3.660 0.000
-1.307 0.000 17.464
Na Sn S
8 6 16
direct
0.014 0.268 0.164
0.074 0.402 0.374
0.268 0.014 0.664
0.402 0.074 0.874
0.598 0.926 0.126
0.732 0.986 0.336
0.926 0.598 0.626
0.986 0.732 0.836
0.230 0.568 0.032
0.417 0.583 0.250
0.432 0.770 0.468
0.568 0.230 0.532
0.583 0.417 0.750
0.770 0.432 0.968
0.159 0.802 0.150
0.173 0.231 0.015
0.198 0.841 0.350
0.231 0.173 0.515
0.244 0.385 0.748
0.327 0.628 0.575
0.372 0.673 0.925
0.385 0.244 0.248
0.615 0.756 0.752
0.628 0.327 0.075
0.673 0.372 0.425
0.756 0.615 0.252
0.769 0.827 0.485
0.802 0.159 0.650
0.827 0.769 0.985
0.841 0.198 0.850
```

Results
energy relative to the elements, uncorrected: -850.8 meV per atom
final energy: -428.8 eV/cell

***

[9]
VASP calculation (SCAN) on NaTe3S at its PBEsol-relaxed geometry.

```
NaTe3S
1.0
5.274 0.000 0.000
0.000 5.274 0.000
0.000 0.000 5.274
Na Te S
1 3 1
direct
0.000 0.000 0.000
0.000 0.500 0.500
0.500 0.000 0.500
0.500 0.500 0.000
0.500 0.500 0.500
```

Results
energy relative to the elements, uncorrected: 49.1 meV per atom
final energy: -125.4 eV/cell

***

[10]
VASP calculation (SCAN) on NaTe2S at its PBEsol-relaxed geometry.

```
NaTe2S
1.0
1.767 1.020 9.862
-1.767 1.020 9.862
0.000 -2.040 9.862
Na Te S
1 2 1
direct
0.000 0.000 0.000
0.416 0.416 0.416
0.584 0.584 0.584
0.500 0.500 0.500
```

Results
energy relative to the elements, uncorrected: 76.3 meV per atom
final energy: -88.0 eV/cell

***

[11]
VASP calculation (SCAN) on Na3Ti10S20 at its PBEsol-relaxed geometry.

```
Na3Ti10S20
1.0
2.918 -8.406 0.000
2.918 8.406 0.000
-1.943 0.000 12.647
Na Ti S
3 10 20
direct
0.000 0.000 0.000
0.173 0.554 0.003
0.554 0.173 0.003
0.056 0.457 0.721
0.107 0.107 0.282
0.258 0.258 0.721
0.312 0.911 0.282
0.457 0.056 0.721
0.511 0.710 0.281
0.656 0.854 0.722
0.710 0.511 0.281
0.854 0.656 0.722
0.911 0.312 0.282
0.027 0.227 0.838
0.080 0.879 0.392
0.086 0.687 0.611
0.137 0.336 0.166
0.227 0.027 0.838
0.280 0.680 0.392
0.286 0.486 0.611
0.336 0.137 0.166
0.431 0.831 0.839
0.480 0.480 0.392
0.486 0.286 0.611
0.542 0.941 0.165
0.624 0.624 0.837
0.680 0.280 0.392
0.687 0.086 0.611
0.735 0.735 0.166
0.831 0.431 0.839
0.879 0.080 0.392
0.886 0.886 0.611
0.941 0.542 0.165
```

Results
energy relative to the elements, uncorrected: -1530.5 meV per atom
final energy: -416.0 eV/cell

***

[12]
VASP calculation (SCAN) on NaTiVS4 at its PBEsol-relaxed geometry.

```
NaTiVS4
1.0
7.106 -1.670 0.000
7.106 1.670 0.000
-0.777 0.000 5.668
Na Ti V S
1 1 1 4
direct
0.000 0.000 0.000
0.250 0.250 0.407
0.750 0.750 0.893
0.148 0.148 0.705
0.349 0.349 0.096
0.649 0.649 0.198
0.853 0.853 0.603
```

Results
energy relative to the elements, uncorrected: -1373.9 meV per atom
final energy: -85.9 eV/cell